Entry 1:
This record from Alexandria via LeMat-Bulk describes an optimized crystal structure of Ba2TlHg10. The functional is GGA-PBE.

a = 6.9807 Å, b = 20.3029 Å, c = 6.8592 Å
α = 90.00°, β = 90.00°, γ = 90.00°
Sites, in units of the cell vectors:
Ba  0.2265  0.0805  0.0000
Ba  0.2735  0.5805  0.0000
Ba  0.7265  0.4195  0.0000
Ba  0.7735  0.9195  0.0000
Tl  0.0000  0.0000  0.5000
Tl  0.5000  0.5000  0.5000
Hg  0.0301  0.1569  0.5000
Hg  0.0970  0.2970  0.5000
Hg  0.0995  0.5686  0.5000
Hg  0.2283  0.4173  0.2141
Hg  0.2283  0.4173  0.7859
Hg  0.2717  0.9173  0.2141
Hg  0.2717  0.9173  0.7859
Hg  0.4005  0.0686  0.5000
Hg  0.4030  0.7970  0.5000
Hg  0.4699  0.6569  0.5000
Hg  0.5301  0.3431  0.5000
Hg  0.5970  0.2030  0.5000
Hg  0.5995  0.9314  0.5000
Hg  0.7283  0.0827  0.2141
Hg  0.7283  0.0827  0.7859
Hg  0.7717  0.5827  0.2141
Hg  0.7717  0.5827  0.7859
Hg  0.9005  0.4314  0.5000
Hg  0.9030  0.7030  0.5000
Hg  0.9699  0.8431  0.5000

## Properties
The value obtained for the electronic total energy is -0.86 eV/atom. Its crystal system is orthorhombic. The calculation puts the formation energy from the elements at -0.15 eV per atom. Its density of states at the Fermi level is 0.486 states/eV per atom. The value obtained for the density is 8.49 g/cm³.

=====

Entry 2:
This record from Alexandria via LeMat-Bulk describes an optimized crystal structure of Ba2Tl3Hg6. The functional is GGA-PBE.

a = 9.2519 Å, b = 4.4676 Å, c = 9.2884 Å
α = 90.00°, β = 110.01°, γ = 90.00°
Sites, in units of the cell vectors:
Ba  0.2083  0.0000  0.2075
Ba  0.7917  0.0000  0.7925
Tl  0.2657  0.0000  0.7302
Tl  0.5000  0.5000  0.5000
Tl  0.7343  0.0000  0.2698
Hg  0.1186  0.5000  0.8832
Hg  0.1411  0.5000  0.4634
Hg  0.4666  0.5000  0.1426
Hg  0.5334  0.5000  0.8574
Hg  0.8589  0.5000  0.5366
Hg  0.8814  0.5000  0.1168

## Properties
The value obtained for the electronic total energy is -1.40 eV/atom. Its crystal system is monoclinic. The calculation puts the formation energy from the elements at -0.24 eV per atom. Its density of states at the Fermi level is 0.599 states/eV per atom. The value obtained for the density is 9.63 g/cm³.

=====

Entry 3:
This record from Alexandria via LeMat-Bulk describes an optimized crystal structure of Ba2Tl2Hg. The functional is GGA-PBE.

a = 6.8453 Å, b = 6.8453 Å, c = 12.9339 Å
α = 115.00°, β = 115.00°, γ = 44.32°
Sites, in units of the cell vectors:
Ba  0.0222  0.0222  0.3378
Ba  0.1891  0.1891  0.1143
Ba  0.8109  0.8109  0.8857
Ba  0.9778  0.9778  0.6622
Tl  0.3577  0.3577  0.4413
Tl  0.4715  0.4715  0.1094
Tl  0.5285  0.5285  0.8906
Tl  0.6423  0.6423  0.5587
Hg  0.2785  0.2785  0.6614
Hg  0.7215  0.7215  0.3386

## Properties
The value obtained for the electronic total energy is -2.17 eV/atom. Its crystal system is monoclinic. The polymorph energy (0 for the lowest one) comes out at 0.0 meV/atom. The calculation puts the formation energy from the elements at -0.40 eV per atom. Its density of states at the Fermi level is 1.019 states/eV per atom. The value obtained for the density is 7.79 g/cm³.

=====

Entry 4:
This record from Alexandria via LeMat-Bulk describes an optimized crystal structure of Ba2Tl2Hg. The functional is GGA-PBE.

a = 10.7455 Å, b = 10.7455 Å, c = 10.7455 Å
α = 156.33°, β = 156.33°, γ = 33.72°
Sites, in units of the cell vectors:
Ba  0.0970  0.0970  0.0000
Ba  0.9030  0.9030  0.0000
Tl  0.2500  0.7500  0.5000
Tl  0.7500  0.2500  0.5000
Hg  0.5000  0.5000  0.0000

## Properties
The value obtained for the electronic total energy is -2.02 eV/atom. Its crystal system is tetragonal. The polymorph energy (0 for the lowest one) comes out at 149.8 meV/atom. The calculation puts the formation energy from the elements at -0.25 eV per atom. Its density of states at the Fermi level is 0.879 states/eV per atom. The value obtained for the density is 7.35 g/cm³.

=====

Entry 5:
This record from Alexandria via LeMat-Bulk describes an optimized crystal structure of Ba2Tl12Hg7. The functional is GGA-PBE.

a = 13.7316 Å, b = 13.7316 Å, c = 4.0334 Å
α = 90.00°, β = 90.00°, γ = 120.00°
Sites, in units of the cell vectors:
Ba  0.3333  0.6667  0.2440
Ba  0.6667  0.3333  0.7560
Tl  0.0711  0.4428  0.7520
Tl  0.0999  0.2512  0.2354
Tl  0.1513  0.9001  0.2354
Tl  0.2512  0.1513  0.7646
Tl  0.3717  0.9289  0.7520
Tl  0.4428  0.3717  0.2480
Tl  0.5572  0.6283  0.7520
Tl  0.6283  0.0711  0.2480
Tl  0.7488  0.8487  0.2354
Tl  0.8487  0.0999  0.7646
Tl  0.9001  0.7488  0.7646
Tl  0.9289  0.5572  0.2480
Hg  0.0000  0.0000  0.5000
Hg  0.1320  0.6975  0.7354
Hg  0.3025  0.4345  0.7354
Hg  0.4345  0.1320  0.2646
Hg  0.5655  0.8680  0.7354
Hg  0.6975  0.5655  0.2646
Hg  0.8680  0.3025  0.2646

## Properties
The value obtained for the electronic total energy is -1.77 eV/atom. Its crystal system is trigonal. The calculation puts the formation energy from the elements at -0.13 eV per atom. Its density of states at the Fermi level is 0.399 states/eV per atom. The value obtained for the density is 10.42 g/cm³.

=====

Entry 6:
This record from Alexandria via LeMat-Bulk describes an optimized crystal structure of Ba2Tl5Hg. The functional is GGA-PBE.

a = 7.1663 Å, b = 7.1663 Å, c = 7.1663 Å
α = 116.47°, β = 116.47°, γ = 96.23°
Sites, in units of the cell vectors:
Ba  0.0000  0.5000  0.5000
Ba  0.5000  0.0000  0.5000
Tl  0.0763  0.0763  0.0000
Tl  0.5351  0.5351  0.5671
Tl  0.5351  0.9680  0.0000
Tl  0.9680  0.5351  0.0000
Tl  0.9680  0.9680  0.4329
Hg  0.4535  0.4535  0.0000

## Properties
The value obtained for the electronic total energy is -2.26 eV/atom. Its crystal system is tetragonal. The polymorph energy (0 for the lowest one) comes out at 41.0 meV/atom. The calculation puts the formation energy from the elements at -0.26 eV per atom. Its density of states at the Fermi level is 0.530 states/eV per atom. The value obtained for the density is 9.13 g/cm³.

=====

Entry 7:
This record from Alexandria via LeMat-Bulk describes an optimized crystal structure of Ba3TlHg. The functional is GGA-PBE.

a = 10.9160 Å, b = 10.9160 Å, c = 4.4349 Å
α = 90.00°, β = 90.00°, γ = 115.84°
Sites, in units of the cell vectors:
Ba  0.1543  0.8457  0.0000
Ba  0.2031  0.4154  0.5000
Ba  0.4154  0.2031  0.5000
Ba  0.5846  0.7969  0.5000
Ba  0.7969  0.5846  0.5000
Ba  0.8457  0.1543  0.0000
Tl  0.0000  0.0000  0.5000
Tl  0.5000  0.5000  0.0000
Hg  0.0000  0.5000  0.0000
Hg  0.5000  0.0000  0.0000

## Properties
The value obtained for the electronic total energy is -1.96 eV/atom. Its crystal system is orthorhombic. The polymorph energy (0 for the lowest one) comes out at 126.5 meV/atom. The calculation puts the formation energy from the elements at -0.27 eV per atom. Its density of states at the Fermi level is 0.962 states/eV per atom. The value obtained for the density is 5.70 g/cm³.

=====

Entry 8:
This record from Alexandria via LeMat-Bulk describes an optimized crystal structure of BaTl3Hg. The functional is GGA-PBE.

a = 6.6721 Å, b = 6.6721 Å, c = 6.6721 Å
α = 90.00°, β = 90.00°, γ = 90.00°
Sites, in units of the cell vectors:
Ba  0.0000  0.0000  0.0000
Tl  0.0000  0.0000  0.5000
Tl  0.0000  0.5000  0.0000
Tl  0.5000  0.0000  0.0000
Hg  0.5000  0.5000  0.5000

## Properties
The value obtained for the electronic total energy is -1.30 eV/atom. Its crystal system is cubic. The polymorph energy (0 for the lowest one) comes out at 836.7 meV/atom. The calculation puts the formation energy from the elements at 0.56 eV per atom. Its density of states at the Fermi level is 2.604 states/eV per atom. The value obtained for the density is 5.32 g/cm³.

=====

Entry 9:
This record from Alexandria via LeMat-Bulk describes an optimized crystal structure of Ba2Tl5Hg12. The functional is GGA-PBE.

a = 8.5273 Å, b = 8.5273 Å, c = 8.5273 Å
α = 75.17°, β = 75.17°, γ = 75.17°
Sites, in units of the cell vectors:
Ba  0.1843  0.1843  0.1843
Ba  0.8157  0.8157  0.8157
Tl  0.0000  0.5000  0.5000
Tl  0.4051  0.4051  0.4051
Tl  0.5000  0.0000  0.5000
Tl  0.5000  0.5000  0.0000
Tl  0.5949  0.5949  0.5949
Hg  0.1055  0.1055  0.6681
Hg  0.1055  0.6681  0.1055
Hg  0.2040  0.5000  0.7960
Hg  0.2040  0.7960  0.5000
Hg  0.3319  0.8945  0.8945
Hg  0.5000  0.2040  0.7960
Hg  0.5000  0.7960  0.2040
Hg  0.6681  0.1055  0.1055
Hg  0.7960  0.2040  0.5000
Hg  0.7960  0.5000  0.2040
Hg  0.8945  0.3319  0.8945
Hg  0.8945  0.8945  0.3319

## Properties
The value obtained for the electronic total energy is -1.18 eV/atom. Its crystal system is trigonal. The calculation puts the formation energy from the elements at -0.16 eV per atom. Its density of states at the Fermi level is 0.535 states/eV per atom. The value obtained for the density is 10.84 g/cm³.

=====

- The lowest electronic total energy belongs to which entry?
  Ba2Tl5Hg

=====

- What is the electronic total energy in the eighth record?
  -1.30 eV/atom

=====

- Number 4 is which compound?
  Ba2Tl2Hg